Record 1
Density functional theory data (PBE) for an optimized crystal structure of Rb3Pd2Se3.

## Properties
Space group: No. 63
Formation energy (no corrections) in meV/atom: -698
M_tot in μB per cell: 0.00

Structure (extended XYZ):
```
16
Lattice="2.495 -6.074 0.000 2.495 6.074 0.000 0.000 0.000 15.760" Properties=species:S:1:pos:R:3 pbc="T T T"
Rb 2.495 5.729 9.725
Rb 2.495 5.729 13.915
Rb 2.495 2.550 3.940
Rb 2.495 -2.550 11.820
Rb 2.495 -5.729 1.845
Rb 2.495 -5.729 6.035
Pd 2.495 2.353 9.375
Pd 2.495 2.353 14.266
Pd 2.495 -2.353 1.494
Pd 2.495 -2.353 6.386
Se 2.495 3.241 0.855
Se 2.495 3.241 7.025
Se 2.495 1.231 11.820
Se 2.495 -1.231 3.940
Se 2.495 -3.241 8.735
Se 2.495 -3.241 14.905
```



Record 2
Density functional theory data (PBE) for an optimized crystal structure of Sm4As2AuS.

## Properties
Space group: No. 10
Formation energy (no corrections) in meV/atom: -1433
M_tot in μB per cell: 0.00

Structure (extended XYZ):
```
8
Lattice="7.166 0.000 0.000 0.000 4.167 0.000 -2.396 0.000 6.938" Properties=species:S:1:pos:R:3 pbc="T T T"
Sm 1.177 0.000 1.653
Sm -0.047 2.083 5.251
Sm 4.817 2.083 1.687
Sm 3.593 0.000 5.286
As -1.198 0.000 3.469
As 0.000 2.083 0.000
Au 2.385 2.083 3.469
S 3.583 0.000 0.000
```



Record 3
Density functional theory data (PBE) for an optimized crystal structure of ZrCuPdPt.

## Properties
Space group: No. 119
M_tot in μB per cell: 0.00
Formation enthalpy at 0 K in eV per atom: -0.72

Structure (extended XYZ):
```
4
Lattice="-2.016 2.016 3.944 2.016 -2.016 3.944 2.016 2.016 -3.944" Properties=species:S:1:pos:R:3 pbc="T T T"
Zr 0.000 0.000 0.000
Cu 0.000 0.000 3.944
Pd 0.000 2.016 1.972
Pt 2.016 0.000 1.972
```



Record 4
Density functional theory data (PBE) for an optimized crystal structure of PuZn2Au.

## Properties
Space group: No. 123
M_tot in μB per cell: 5.85
Formation enthalpy at 0 K in eV per atom: -0.18

Structure (extended XYZ):
```
4
Lattice="3.223 0.000 0.000 0.000 3.223 0.000 0.000 0.000 7.336" Properties=species:S:1:pos:R:3 pbc="T T T"
Pu 0.000 0.000 0.000
Zn 1.612 1.612 2.134
Zn 1.612 1.612 5.203
Au 0.000 0.000 3.668
```



Record 5
Density functional theory data (PBE) for an optimized crystal structure of AcSnAu5.

## Properties
Space group: No. 62
M_tot in μB per cell: 0.00
Formation enthalpy at 0 K in eV per atom: -0.47

Structure (extended XYZ):
```
28
Lattice="9.360 0.000 0.000 0.000 5.778 0.000 0.000 0.000 11.486" Properties=species:S:1:pos:R:3 pbc="T T T"
Ac 2.333 1.445 0.650
Ac 2.347 4.334 6.392
Ac 7.013 1.445 5.093
Ac 7.027 4.334 10.836
Sn 1.370 4.334 9.773
Sn 3.310 1.445 4.030
Sn 6.050 4.334 7.456
Sn 7.990 1.445 1.713
Au 0.685 0.039 3.464
Au 0.685 2.851 3.464
Au 0.702 4.334 0.906
Au 0.814 1.445 5.973
Au 1.610 1.445 8.807
Au 3.070 4.334 3.064
Au 3.866 4.334 0.231
Au 3.978 1.445 6.649
Au 3.995 2.928 9.206
Au 3.995 5.740 9.206
Au 5.365 0.039 2.279
Au 5.365 2.851 2.279
Au 5.382 4.334 4.837
Au 5.494 1.445 11.255
Au 6.290 1.445 8.422
Au 7.750 4.334 2.679
Au 8.546 4.334 5.512
Au 8.658 1.445 10.579
Au 8.675 2.928 8.022
Au 8.675 5.740 8.022
```



Record 6
Density functional theory data (PBE) for an optimized crystal structure of LaTmCdCu.

## Properties
Space group: No. 216
M_tot in μB per cell: 0.00
Formation enthalpy at 0 K in eV per atom: -0.19

Structure (extended XYZ):
```
4
Lattice="0.000 3.701 3.701 3.701 0.000 3.701 3.701 3.701 0.000" Properties=species:S:1:pos:R:3 pbc="T T T"
La 0.000 0.000 0.000
Tm 3.701 3.701 3.701
Cd 1.851 1.851 1.851
Cu 5.552 5.552 5.552
```



Record 7
Density functional theory data (PBE) for an optimized crystal structure of Sc2As.

## Properties
Space group: No. 164
M_tot in μB per cell: 0.00
Formation enthalpy at 0 K in eV per atom: -0.60

Structure (extended XYZ):
```
3
Lattice="4.414 0.000 0.000 -2.207 3.822 0.000 0.000 0.000 3.805" Properties=species:S:1:pos:R:3 pbc="T T T"
Sc 0.000 2.548 0.956
Sc 2.207 1.274 2.849
As 0.000 0.000 0.000
```



Record 8
Density functional theory data (PBE) for an optimized crystal structure of MgCdPb.

## Properties
Space group: No. 5
M_tot in μB per cell: 0.00
Formation enthalpy at 0 K in eV per atom: 0.00

Structure (extended XYZ):
```
6
Lattice="4.252 -4.167 0.000 4.252 4.167 0.000 -3.913 0.000 4.367" Properties=species:S:1:pos:R:3 pbc="T T T"
Mg 1.158 0.000 1.082
Mg 3.434 0.000 3.285
Cd 1.306 -2.084 3.265
Cd 3.285 -2.084 1.102
Pb 2.296 3.154 2.183
Pb 4.252 1.012 0.000
```



Record 9
Density functional theory data (PBE) for an optimized crystal structure of LiZnGe.

## Properties
Space group: No. 187
M_tot in μB per cell: 0.00
Formation enthalpy at 0 K in eV per atom: -0.24

Structure (extended XYZ):
```
9
Lattice="4.283 0.000 0.000 -2.141 3.709 0.000 0.000 0.000 9.384" Properties=species:S:1:pos:R:3 pbc="T T T"
Li 0.000 0.000 0.000
Li 0.000 0.000 3.117
Li 0.000 0.000 6.267
Zn 0.000 2.473 4.692
Zn 2.141 1.236 1.941
Zn 2.141 1.236 7.443
Ge 0.000 2.473 1.293
Ge 0.000 2.473 8.092
Ge 2.141 1.236 4.692
```



Record 10
Density functional theory data (PBE) for an optimized crystal structure of PmNd4Y5.

## Properties
Space group: No. 12
Distance to the lowest polymorph of the same formula in meV per atom: 174
M_tot in μB per cell: 0.00
Formation enthalpy at 0 K in eV per atom: 0.19

Structure (extended XYZ):
```
10
Lattice="8.723 -1.786 0.000 8.723 1.786 0.000 -0.007 0.000 11.254" Properties=species:S:1:pos:R:3 pbc="T T T"
Pm 0.000 0.000 0.000
Nd 2.685 0.000 2.813
Nd 8.201 0.000 2.820
Nd 9.238 0.000 8.434
Nd 14.755 0.000 8.442
Y -0.004 0.000 5.627
Y 5.671 0.000 0.639
Y 5.686 0.000 5.019
Y 11.753 0.000 6.235
Y 11.768 0.000 10.615
```



Record 11
Density functional theory data (PBE) for an optimized crystal structure of TiFeC2.

## Properties
Space group: No. 122
M_tot in μB per cell: 0.00
Formation enthalpy at 0 K in eV per atom: 0.27

Structure (extended XYZ):
```
8
Lattice="-2.195 2.195 4.678 2.195 -2.195 4.678 2.195 2.195 -4.678" Properties=species:S:1:pos:R:3 pbc="T T T"
Ti 0.000 0.000 0.000
Ti 0.000 2.195 2.339
Fe 2.195 0.000 2.339
Fe 0.000 0.000 4.678
C 1.097 -0.888 3.508
C 1.307 1.097 1.169
C 1.097 3.082 -1.169
C 0.888 1.097 5.847
```



Record 12
Density functional theory data (PBE) for an optimized crystal structure of TlSn6Au.

## Properties
Space group: No. 12
M_tot in μB per cell: 0.00
Formation enthalpy at 0 K in eV per atom: 0.00

Structure (extended XYZ):
```
8
Lattice="3.445 -5.060 0.000 3.445 5.060 0.000 -1.171 0.000 6.205" Properties=species:S:1:pos:R:3 pbc="T T T"
Tl 0.000 0.000 0.000
Sn 2.328 2.125 1.604
Sn 0.981 0.000 3.563
Sn 3.390 2.125 4.601
Sn 2.328 -2.125 1.604
Sn 4.737 0.000 2.642
Sn 3.390 -2.125 4.601
Au 3.445 0.000 0.000
```



Record 13
Density functional theory data (PBE) for an optimized crystal structure of Ni4IrS8.

## Properties
Space group: No. 216
Formation energy (no corrections) in meV/atom: -233
M_tot in μB per cell: 0.00

Structure (extended XYZ):
```
13
Lattice="0.000 4.768 4.768 4.768 0.000 4.768 4.768 4.768 0.000" Properties=species:S:1:pos:R:3 pbc="T T T"
Ni 3.609 3.609 3.609
Ni 5.927 5.927 3.609
Ni 5.927 3.609 5.927
Ni 3.609 5.927 5.927
Ir 0.000 0.000 0.000
S 1.301 1.301 1.301
S 3.467 3.467 1.301
S 3.467 1.301 3.467
S 5.852 3.683 3.683
S 1.301 3.467 3.467
S 3.683 5.852 3.683
S 3.683 3.683 5.852
S 5.852 5.852 5.852
```



Record 14
Density functional theory data (PBE) for an optimized crystal structure of K2SiBiS4.

## Properties
Space group: No. 82
Formation energy (no corrections) in meV/atom: -801
M_tot in μB per cell: 1.00

Structure (extended XYZ):
```
8
Lattice="-3.843 3.843 3.908 3.843 -3.843 3.908 3.843 3.843 -3.908" Properties=species:S:1:pos:R:3 pbc="T T T"
K 0.000 0.000 0.000
K 0.000 3.843 1.954
Si 0.000 0.000 3.908
Bi 3.843 0.000 1.954
S 2.486 2.690 -1.209
S 4.996 2.486 1.209
S 1.356 1.153 2.699
S -1.153 1.356 5.117
```



Record 15
Density functional theory data (PBE) for an optimized crystal structure of Ce3PrTe6.

## Properties
Space group: No. 14
Formation energy (no corrections) in meV/atom: -1307
M_tot in μB per cell: 6.01

Structure (extended XYZ):
```
20
Lattice="7.506 0.000 0.000 0.000 8.448 0.000 -7.413 0.000 11.437" Properties=species:S:1:pos:R:3 pbc="T T T"
Ce 0.000 0.000 0.000
Ce -3.706 4.224 5.719
Ce -4.070 1.003 8.550
Ce -0.363 3.221 2.832
Ce 0.457 5.227 8.605
Ce 4.163 7.445 2.887
Pr 0.047 0.000 5.719
Pr 3.753 4.224 0.000
Te -2.535 1.496 4.796
Te -6.241 2.728 10.514
Te -1.170 5.704 4.773
Te -4.876 6.968 10.491
Te 1.289 0.498 2.834
Te -2.418 3.726 8.553
Te 2.511 4.722 2.884
Te -1.195 7.950 8.603
Te 4.969 1.480 0.946
Te 1.263 2.744 6.664
Te 6.334 5.720 0.923
Te 2.628 6.952 6.641
```



Record 16
Density functional theory data (PBE) for an optimized crystal structure of HoThTc2.

## Properties
Space group: No. 123
Distance to the lowest polymorph of the same formula in meV per atom: 28
M_tot in μB per cell: 0.00
Formation enthalpy at 0 K in eV per atom: -0.01

Structure (extended XYZ):
```
4
Lattice="3.487 0.000 0.000 0.000 3.487 0.000 0.000 0.000 6.939" Properties=species:S:1:pos:R:3 pbc="T T T"
Ho 0.000 0.000 0.000
Th 0.000 0.000 3.470
Tc 1.743 1.743 1.844
Tc 1.743 1.743 5.095
```